No. 1
This record from Alexandria describes a geometry-optimized Tm3PaCo8 structure. The functional is PBE.

Lattice parameters (Å, degrees): 8.6846 8.6846 8.6846 33.47 33.47 33.47
Last column: nearest neighbours and their distance in Å.
Atoms (fractional coordinates):
Tm: 0.0000 0.0000 0.0000  12 Co 2.93-2.95, 4 Tm 3.04-3.06
Tm: 0.1244 0.1244 0.1244  12 Co 2.91-2.95, 1 Tm 3.06, 3 Pa 3.09
Tm: 0.6274 0.6274 0.6274  12 Co 2.92-2.96, 3 Tm 3.04, 1 Pa 3.08
Pa: 0.5021 0.5021 0.5021  12 Co 2.91-2.95, 4 Tm 3.08-3.09
Co: 0.0635 0.0635 0.5612  6 Co 2.49-2.52
Co: 0.0635 0.5612 0.0635  6 Co 2.49-2.52
Co: 0.0647 0.5633 0.5633  6 Co 2.49-2.51
Co: 0.3136 0.3136 0.3136  6 Co 2.50-2.52
Co: 0.5612 0.0635 0.0635  6 Co 2.49-2.52
Co: 0.5633 0.0647 0.5633  6 Co 2.49-2.51
Co: 0.5633 0.5633 0.0647  6 Co 2.49-2.51
Co: 0.8131 0.8131 0.8131  6 Co 2.50

Summary:
Its density of states at the Fermi level is 14.14 states/eV/f.u. The formation energy comes out at -261 meV per atom.



No. 2
This record from Alexandria describes a geometry-optimized Th4SnBi3 structure. The functional is PBE.

Lattice parameters (Å, degrees): 7.9513 9.1259 7.9489 90.00 109.24 90.00
Last column: nearest neighbours and their distance in Å.
Atoms (fractional coordinates):
Th: 0.2400 0.1202 0.0004  2 Sn 3.17-3.18, 4 Bi 3.24-3.31
Th: 0.2400 0.8798 0.5004  2 Sn 3.17-3.18, 4 Bi 3.24-3.31
Th: 0.2458 0.3693 0.4947  1 Sn 3.17, 5 Bi 3.23-3.30
Th: 0.2458 0.6307 0.9947  1 Sn 3.17, 5 Bi 3.23-3.30
Th: 0.7542 0.3693 0.0053  1 Sn 3.17, 5 Bi 3.23-3.30
Th: 0.7542 0.6307 0.5053  1 Sn 3.17, 5 Bi 3.23-3.30
Th: 0.7600 0.1202 0.4996  2 Sn 3.17-3.18, 4 Bi 3.24-3.31
Th: 0.7600 0.8798 0.9996  2 Sn 3.17-3.18, 4 Bi 3.24-3.31
Sn: 0.0000 0.1254 0.2500  6 Th 3.17-3.18
Sn: 0.0000 0.8746 0.7500  6 Th 3.17-3.18
Bi: 0.0000 0.3759 0.7500  6 Th 3.24-3.25
Bi: 0.0000 0.6241 0.2500  6 Th 3.24-3.25
Bi: 0.5000 0.1250 0.7500  6 Th 3.24-3.31
Bi: 0.5000 0.3758 0.2500  6 Th 3.23-3.31
Bi: 0.5000 0.6242 0.7500  6 Th 3.23-3.31
Bi: 0.5000 0.8750 0.2500  6 Th 3.24-3.31

Summary:
Its density of states at the Fermi level is 4.83 states/eV/f.u. The formation energy comes out at -565 meV per atom.



No. 3
This record from Alexandria describes a geometry-optimized Hg2Pd3Pb8 structure. The functional is PBE.

Lattice parameters (Å, degrees): 9.1055 9.1055 4.8570 90.95 90.95 65.42
Last column: nearest neighbours and their distance in Å.
Atoms (fractional coordinates):
Hg: 0.2471 0.2471 0.4931  8 Pb 3.19-3.27
Hg: 0.7529 0.7529 0.5069  8 Pb 3.19-3.27
Pd: 0.2486 0.7514 0.0000  8 Pb 2.95-3.01
Pd: 0.5000 0.5000 0.5000  8 Pb 2.96-2.99
Pd: 0.7514 0.2486 0.0000  8 Pb 2.95-3.01
Pb: 0.1081 0.1081 0.9951  2 Pd 2.95, 2 Hg 3.19-3.27
Pb: 0.1409 0.6359 0.4966  3 Pd 2.96-2.98, 2 Hg 3.24-3.26
Pb: 0.3641 0.8591 0.5034  3 Pd 2.96-2.98, 2 Hg 3.24-3.26
Pb: 0.3878 0.3878 0.9960  4 Pd 2.96-3.01, 2 Hg 3.23-3.27
Pb: 0.6122 0.6122 0.0040  4 Pd 2.96-3.01, 2 Hg 3.23-3.27
Pb: 0.6359 0.1409 0.4966  3 Pd 2.96-2.98, 2 Hg 3.24-3.26
Pb: 0.8591 0.3641 0.5034  3 Pd 2.96-2.98, 2 Hg 3.24-3.26
Pb: 0.8919 0.8919 0.0049  2 Pd 2.95, 2 Hg 3.19-3.27

Summary:
Its density of states at the Fermi level is 5.71 states/eV/f.u. The formation energy comes out at -70 meV per atom.



No. 4
This record from Alexandria describes a geometry-optimized RbBaNa2O structure. The functional is PBE.

Lattice parameters (Å, degrees): 7.1675 7.1675 9.7961 90.00 90.00 90.00
Last column: nearest neighbours and their distance in Å.
Atoms (fractional coordinates):
Rb: 0.0000 0.0000 0.0000  2 Ba 4.90, 4 O 5.07
Ba: 0.0000 0.0000 0.5000  4 Na 3.58
Na: 0.0000 0.5000 0.5000  2 Ba 3.58
Na: 0.5000 0.0000 0.5000  2 Ba 3.58
O: 0.5000 0.5000 0.0000  4 Rb 5.07

Summary:
Its density of states at the Fermi level is 10.92 states/eV/f.u.



No. 5
This record from Alexandria describes a geometry-optimized Rb3UMn2Te6 structure. The functional is PBE.

Lattice parameters (Å, degrees): 7.5651 7.5651 8.8611 98.21 98.21 119.92
Last column: nearest neighbours and their distance in Å.
Atoms (fractional coordinates):
Rb: 0.0000 0.0000 0.0000  6 Te 3.64-3.67
Rb: 0.3345 0.6655 0.0000  6 Te 3.64-3.67
Rb: 0.6655 0.3345 0.0000  6 Te 3.64-3.67
U: 0.5000 0.5000 0.5000  6 Te 3.02
Mn: 0.1669 0.8331 0.5000  6 Te 2.96-2.97
Mn: 0.8331 0.1669 0.5000  6 Te 2.96-2.97
Te: 0.0988 0.4377 0.3121  2 Mn 2.96-2.97, 1 U 3.02
Te: 0.2232 0.2232 0.6869  2 Mn 2.96, 1 U 3.02
Te: 0.4377 0.0988 0.3121  2 Mn 2.96-2.97, 1 U 3.02
Te: 0.5623 0.9012 0.6879  2 Mn 2.96-2.97, 1 U 3.02
Te: 0.7768 0.7768 0.3131  2 Mn 2.96, 1 U 3.02
Te: 0.9012 0.5623 0.6879  2 Mn 2.96-2.97, 1 U 3.02

Summary:
Its density of states at the Fermi level is 2.49 states/eV/f.u.



No. 6
This record from Alexandria describes a geometry-optimized Tl2CuAg2F6 structure. The functional is PBE.

Lattice parameters (Å, degrees): 6.2829 6.2829 7.1775 119.63 119.63 56.23
Last column: nearest neighbours and their distance in Å.
Atoms (fractional coordinates):
Tl: 0.2363 0.2363 0.2952  4 F 2.59-2.67
Tl: 0.7637 0.7637 0.7048  4 F 2.59-2.67
Cu: 0.0000 0.0000 0.5000  6 F 1.93-2.14
Ag: 0.4094 0.4094 0.0901  3 F 2.20-2.31
Ag: 0.5906 0.5906 0.9099  3 F 2.20-2.31
F: 0.1755 0.6871 0.6412  1 Cu 2.14, 1 Ag 2.31
F: 0.1983 0.1983 0.7619  1 Cu 1.93
F: 0.3129 0.8245 0.3588  1 Cu 2.14, 1 Ag 2.31
F: 0.6871 0.1755 0.6412  1 Cu 2.14, 1 Ag 2.31
F: 0.8017 0.8017 0.2381  1 Cu 1.93
F: 0.8245 0.3129 0.3588  1 Cu 2.14, 1 Ag 2.31

Summary:
Its density of states at the Fermi level is 3.66 states/eV/f.u.



No. 7
This record from Alexandria describes a geometry-optimized Na14HgPb structure. The functional is PBE.

Lattice parameters (Å, degrees): 7.1257 7.1257 10.4655 90.00 90.00 90.00
Last column: nearest neighbours and their distance in Å.
Atoms (fractional coordinates):
Na: 0.0000 0.0000 0.0000  12 Na 3.56-3.80
Na: 0.0000 0.5000 0.0000  12 Na 3.56-3.81
Na: 0.0000 0.5000 0.5000  8 Na 3.47, 2 Hg 3.56, 2 Pb 3.56
Na: 0.2493 0.2493 0.2725  1 Hg 3.46, 10 Na 3.47-3.81, 1 Pb 3.47
Na: 0.2493 0.2493 0.7275  1 Hg 3.46, 10 Na 3.47-3.81, 1 Pb 3.47
Na: 0.2493 0.7507 0.2725  1 Hg 3.46, 10 Na 3.47-3.81, 1 Pb 3.47
Na: 0.2493 0.7507 0.7275  1 Hg 3.46, 10 Na 3.47-3.81, 1 Pb 3.47
Na: 0.5000 0.0000 0.0000  12 Na 3.56-3.81
Na: 0.5000 0.0000 0.5000  8 Na 3.47, 2 Hg 3.56, 2 Pb 3.56
Na: 0.5000 0.5000 0.0000  12 Na 3.56-3.81
Na: 0.7507 0.2493 0.2725  1 Hg 3.46, 10 Na 3.47-3.81, 1 Pb 3.47
Na: 0.7507 0.2493 0.7275  1 Hg 3.46, 10 Na 3.47-3.81, 1 Pb 3.47
Na: 0.7507 0.7507 0.2725  1 Hg 3.46, 10 Na 3.47-3.81, 1 Pb 3.47
Na: 0.7507 0.7507 0.7275  1 Hg 3.46, 10 Na 3.47-3.81, 1 Pb 3.47
Hg: 0.0000 0.0000 0.5000  12 Na 3.46-3.56
Pb: 0.5000 0.5000 0.5000  12 Na 3.47-3.56

Summary:
Its density of states at the Fermi level is 7.67 states/eV/f.u. The formation energy comes out at -59 meV per atom.



No. 8
This record from Alexandria describes a geometry-optimized Y3P structure. The functional is PBE.

Lattice parameters (Å, degrees): 5.9715 5.9715 5.9715 116.32 116.32 116.32
Last column: nearest neighbours and their distance in Å.
Atoms (fractional coordinates):
Y: 0.0000 0.5000 0.5000  6 Y 3.15-3.48, 2 P 3.15
Y: 0.5000 0.0000 0.5000  2 P 3.15, 6 Y 3.15-3.48
Y: 0.5000 0.5000 0.0000  6 Y 3.15-3.48, 2 P 3.15
P: 0.0000 0.0000 0.0000  6 Y 3.15, 2 P 3.48

Summary:
Its density of states at the Fermi level is 3.48 states/eV/f.u. The formation energy comes out at -164 meV per atom.



| no. | VASP energy (eV/atom) |
| --- | --- |
| 1 | -6.91 |
| 2 | -6.23 |
| 3 | -3.60 |
| 4 | -1.27 |
| 5 | -4.89 |
| 6 | -3.74 |
| 7 | -1.46 |
| 8 | -6.36 |